[1]
Below is a relaxed Ba2TlTc crystal, with properties calculated at the GGA-PBEsol level.

Values from the calculation:
The calculation puts the calculated formation energy at 1.8 eV per formula unit. As for the energy relative to the lowest polymorph listed for this composition: 0.000 kcal/mol of atoms. Its space group is Imm2.

Cell: 3.866 5.613 6.525 Å, 115.47 107.23 90.00°
Atoms (fractional coordinates):
Ba 0.984 0.984 0.968
Ba 0.793 0.293 0.585
Tc 0.527 0.527 0.054
Tl 0.196 0.696 0.393

[2]
Below is a relaxed Li2NiSnO4 crystal, with properties calculated at the GGA-PBEsol level.

Values from the calculation:
The formation energy (no corrections) comes out at -150 kJ/mol of atoms. As for the energy relative to the lowest polymorph listed for this composition: 0.000 kcal/mol of atoms. Its space group is P2/m.

Cell: 3.063 5.142 5.184 Å, 108.95 90.00 90.00°
Last column: magnetic moment on the atom in μB.
Atoms (fractional coordinates):
Ni 0.500 0.500 0.500  1.49
Sn 0.000 0.500 0.000  -0.01
O 0.000 0.272 0.257  0.13
O 0.000 0.728 0.743  0.13
O 0.500 0.259 0.759  0.06
O 0.500 0.741 0.241  0.06
Li 0.000 0.000 0.500  0.00
Li 0.500 0.000 0.000  0.01

[3]
Below is a relaxed Ti2HgPd2 crystal, with properties calculated at the GGA-PBEsol level.

Values from the calculation:
The calculation puts the calculated formation energy at -2.3 eV per formula unit. As for the energy relative to the lowest polymorph listed for this composition: 0.000 kcal/mol of atoms. Its space group is P4/mbm.

Cell: 2.946 7.432 7.432 Å, 90.00 90.00 90.00°
Atoms (fractional coordinates):
Hg 0.000 0.000 0.000
Hg 0.000 0.500 0.500
Pd 0.000 0.372 0.872
Pd 0.000 0.872 0.628
Pd 0.000 0.628 0.128
Pd 0.000 0.128 0.372
Ti 0.500 0.169 0.669
Ti 0.500 0.669 0.831
Ti 0.500 0.831 0.331
Ti 0.500 0.331 0.169

[4]
Below is a relaxed MgH2N crystal, with properties calculated at the GGA-PBEsol level.

Values from the calculation:
For the total energy, the calculation gives -3.878 eV/atom. Its space group is I4_1/amd.

Cell: 3.034 3.034 6.584 Å, 103.32 103.32 90.00°
Atoms (fractional coordinates):
H 0.625 0.375 0.750
H 0.125 0.375 0.750
H 0.625 0.875 0.250
H 0.625 0.375 0.250
Mg 0.000 0.000 0.000
Mg 0.250 0.750 0.500
N 0.500 0.500 0.000
N 0.750 0.250 0.500

[5]
Below is a relaxed LiGeSb2 crystal, with properties calculated at the GGA-PBEsol level.

Values from the calculation:
The formation energy (no corrections) comes out at 6 kJ/mol of atoms. Its space group is I-42d.

Cell: 6.470 7.119 6.470 Å, 117.02 90.00 117.02°
Atoms (fractional coordinates):
Sb 0.883 0.250 0.875
Sb 0.367 0.250 0.375
Sb 0.625 0.750 0.117
Sb 0.125 0.750 0.633
Ge 0.250 0.500 0.750
Ge 0.000 0.000 0.000
Li 0.750 0.500 0.250
Li 0.500 0.000 0.500

[6]
Below is a relaxed Na2H18SO9 crystal, with properties calculated at the GGA-PBEsol level.

Values from the calculation:
For the total energy, the calculation gives -4.867 eV/atom. Its space group is P4_322.

Cell: 9.142 9.142 12.427 Å, 90.00 90.00 90.00°
Last column: magnetic moment on the atom in μB.
Atoms (fractional coordinates):
Na 0.688 0.500 0.750  0.00
Na 0.312 0.500 0.250  0.00
Na 0.500 0.688 0.500  0.00
Na 0.500 0.312 0.000  0.00
Na 0.000 0.861 0.000  0.00
Na 0.000 0.139 0.500  0.00
Na 0.139 0.000 0.750  0.00
Na 0.861 0.000 0.250  0.00
H 0.396 0.495 0.663  0.00
H 0.604 0.505 0.163  0.00
H 0.505 0.396 0.413  0.00
H 0.495 0.604 0.913  0.00
H 0.604 0.495 0.337  0.00
H 0.396 0.505 0.837  0.00
H 0.495 0.396 0.587  0.00
H 0.505 0.604 0.087  0.00
H 0.126 0.796 0.211  0.00
H 0.874 0.204 0.711  0.00
H 0.204 0.126 0.961  0.00
H 0.796 0.874 0.461  0.00
H 0.874 0.796 0.789  0.00
H 0.126 0.204 0.289  0.00
H 0.796 0.126 0.039  0.00
H 0.204 0.874 0.539  0.00
H 0.970 0.717 0.216  0.00
H 0.030 0.283 0.716  0.00
H 0.283 0.970 0.966  0.00
H 0.717 0.030 0.466  0.00
H 0.030 0.717 0.784  0.00
H 0.970 0.283 0.284  0.00
H 0.717 0.970 0.034  0.00
H 0.283 0.030 0.534  0.00
H 0.975 0.528 0.653  0.00
H 0.025 0.472 0.153  0.00
H 0.472 0.975 0.403  0.00
H 0.528 0.025 0.903  0.00
H 0.025 0.528 0.347  0.00
H 0.975 0.472 0.847  0.00
H 0.528 0.975 0.597  0.00
H 0.472 0.025 0.097  0.00
H 0.862 0.445 0.572  0.00
H 0.138 0.555 0.072  0.00
H 0.555 0.862 0.322  0.00
H 0.445 0.138 0.822  0.00
H 0.138 0.445 0.428  0.00
H 0.862 0.555 0.928  0.00
H 0.445 0.862 0.678  0.00
H 0.555 0.138 0.178  0.00
H 0.715 0.712 0.011  0.00
H 0.285 0.288 0.511  0.00
H 0.288 0.715 0.761  0.00
H 0.712 0.285 0.261  0.00
H 0.285 0.712 0.989  0.00
H 0.715 0.288 0.489  0.00
H 0.712 0.715 0.239  0.00
H 0.288 0.285 0.739  0.00
H 0.816 0.619 0.091  0.00
H 0.184 0.381 0.591  0.00
H 0.381 0.816 0.841  0.00
H 0.619 0.184 0.341  0.00
H 0.184 0.619 0.909  0.00
H 0.816 0.381 0.409  0.00
H 0.619 0.816 0.159  0.00
H 0.381 0.184 0.659  0.00
H 0.820 0.649 0.531  0.00
H 0.180 0.351 0.031  0.00
H 0.351 0.820 0.281  0.00
H 0.649 0.180 0.781  0.00
H 0.180 0.649 0.469  0.00
H 0.820 0.351 0.969  0.00
H 0.649 0.820 0.719  0.00
H 0.351 0.180 0.219  0.00
H 0.793 0.645 0.404  0.00
H 0.207 0.355 0.904  0.00
H 0.355 0.793 0.154  0.00
H 0.645 0.207 0.654  0.00
H 0.207 0.645 0.596  0.00
H 0.793 0.355 0.096  0.00
H 0.645 0.793 0.846  0.00
H 0.355 0.207 0.346  0.00
S 0.818 0.500 0.250  0.05
S 0.182 0.500 0.750  0.05
S 0.500 0.818 0.000  0.05
S 0.500 0.182 0.500  0.05
O 0.492 0.492 0.625  0.00
O 0.508 0.508 0.125  0.00
O 0.508 0.492 0.375  0.00
O 0.492 0.508 0.875  0.00
O 0.017 0.810 0.197  0.00
O 0.983 0.190 0.697  0.00
O 0.190 0.017 0.947  0.00
O 0.810 0.983 0.447  0.00
O 0.983 0.810 0.803  0.00
O 0.017 0.190 0.303  0.00
O 0.810 0.017 0.053  0.00
O 0.190 0.983 0.553  0.00
O 0.875 0.533 0.621  0.00
O 0.125 0.467 0.121  0.00
O 0.467 0.875 0.371  0.00
O 0.533 0.125 0.871  0.00
O 0.125 0.533 0.379  0.00
O 0.875 0.467 0.879  0.00
O 0.533 0.875 0.629  0.00
O 0.467 0.125 0.129  0.00
O 0.816 0.670 0.020  0.00
O 0.184 0.330 0.520  0.00
O 0.330 0.816 0.770  0.00
O 0.670 0.184 0.270  0.00
O 0.184 0.670 0.980  0.00
O 0.816 0.330 0.480  0.00
O 0.670 0.816 0.230  0.00
O 0.330 0.184 0.730  0.00
O 0.767 0.700 0.470  0.00
O 0.233 0.300 0.970  0.00
O 0.300 0.767 0.220  0.00
O 0.700 0.233 0.720  0.00
O 0.233 0.700 0.530  0.00
O 0.767 0.300 0.030  0.00
O 0.700 0.767 0.780  0.00
O 0.300 0.233 0.280  0.00